No. 1
Here is an optimized crystal structure of BaInS3 from Alexandria via LeMat-Bulk. Energies are from GGA-PBE.

Calculated values
DOS at the Fermi energy (states/eV per cell): 0.80
Total energy (eV per atom): -4.271
Size of the total moment (μB per atom): 0.0000
Density (g cm⁻³): 4.2

abc: 4.2293 4.9678 6.5317
angles: 90.00 89.99 90.00
With the nearest neighbours (Å) after each atom.
Sites, in units of the cell vectors:
1 In 0.0000 0.0000 0.0000  2 S 2.48
2 Ba 0.0000 0.5000 0.5000  10 S 3.27-3.44
3 S 0.5001 0.0000 0.6668  1 S 2.18
4 S 0.4999 0.0000 0.3332  1 S 2.18
5 S 0.0000 0.5000 0.0000  2 In 2.48

---

No. 2
Here is an optimized crystal structure of BaIn2S3 from Alexandria via LeMat-Bulk. Energies are from GGA-PBE.

Calculated values
DOS at the Fermi energy (states/eV per cell): 3.38
Total energy (eV per atom): -3.995
Size of the total moment (μB per atom): 0.0000
Density (g cm⁻³): 4.5

abc: 7.2501 7.0674 7.0674
angles: 70.97 90.00 90.00
With the nearest neighbours (Å) after each atom.
Sites, in units of the cell vectors:
1 S 0.2500 0.0078 0.9922  4 In 2.72, 1 Ba 3.00
2 Ba 0.7500 0.6269 0.3731  3 S 3.00-3.13
3 S 0.2500 0.8386 0.5312  2 In 2.73
4 In 0.5000 0.1759 0.1759  4 S 2.72-2.73
5 In 0.0000 0.1759 0.1759  4 S 2.72-2.73
6 In 0.0000 0.8241 0.8241  4 S 2.72-2.73
7 Ba 0.2500 0.3731 0.6269  3 S 3.00-3.13
8 S 0.7500 0.9922 0.0078  4 In 2.72, 1 Ba 3.00
9 S 0.2500 0.4688 0.1614  2 In 2.73
10 In 0.5000 0.8241 0.8241  4 S 2.72-2.73
11 S 0.7500 0.1614 0.4688  2 In 2.73
12 S 0.7500 0.5312 0.8386  2 In 2.73

---

No. 3
Here is an optimized crystal structure of Ba4In2S from Alexandria via LeMat-Bulk. Energies are from GGA-PBE.

Calculated values
DOS at the Fermi energy (states/eV per cell): 10.82
Total energy (eV per atom): -3.169
Size of the total moment (μB per atom): 0.1547
Density (g cm⁻³): 4.2

abc: 6.1640 6.1640 9.5205
angles: 108.89 108.89 90.00
With the nearest neighbours (Å) after each atom.
Sites, in units of the cell vectors:
1 S 0.0000 0.0000 0.0000  6 Ba 3.08-3.12
2 Ba 0.8158 0.8158 0.6315  1 S 3.12
3 Ba 0.5000 0.0000 0.0000  2 S 3.08
4 Ba 0.0000 0.5000 0.0000  2 S 3.08
5 In 0.3910 0.3910 0.7820  5 Ba 3.50-3.59, 1 In 3.69
6 Ba 0.1842 0.1842 0.3685  1 S 3.12
7 In 0.6090 0.6090 0.2180  5 Ba 3.50-3.59, 1 In 3.69

---

No. 4
Here is an optimized crystal structure of BaIn4S7 from Alexandria via LeMat-Bulk. Energies are from GGA-PBE.

Calculated values
DOS at the Fermi energy (states/eV per cell): 0.00
Total energy (eV per atom): -4.304
Size of the total moment (μB per atom): 0.0000
Density (g cm⁻³): 4.1

abc: 6.2021 6.7061 16.1602
angles: 90.00 90.00 90.00
With the nearest neighbours (Å) after each atom.
Sites, in units of the cell vectors:
1 S 0.4708 0.8750 0.0000  2 In 2.47
2 S 0.4829 0.2936 0.6138  2 In 2.44-2.50
3 S 0.4954 0.3046 0.8940  2 In 2.45-2.47
4 S 0.9826 0.1876 0.2438  3 In 2.53-2.56
5 S 0.9829 0.7064 0.1138  2 In 2.44-2.50
6 In 0.0696 0.8173 0.2540  4 S 2.44-2.56
7 In 0.0820 0.3373 0.6177  4 S 2.47-2.53
8 Ba 0.4591 0.8878 0.5000  6 S 3.29-3.59
9 S 0.4829 0.2936 0.3862  2 In 2.44-2.50
10 S 0.9954 0.6954 0.6060  2 In 2.45-2.47
11 S 0.9954 0.6954 0.3940  2 In 2.45-2.47
12 S 0.9829 0.7064 0.8862  2 In 2.44-2.50
13 In 0.5820 0.6627 0.8823  4 S 2.47-2.53
14 S 0.9826 0.1876 0.7562  3 In 2.53-2.56
15 In 0.5696 0.1827 0.2460  4 S 2.44-2.56
16 S 0.4954 0.3046 0.1060  2 In 2.45-2.47
17 S 0.9708 0.1250 0.5000  2 In 2.47
18 In 0.5820 0.6627 0.1177  4 S 2.47-2.53
19 S 0.4826 0.8124 0.7438  3 In 2.53-2.56
20 In 0.0696 0.8173 0.7460  4 S 2.44-2.56
21 S 0.4826 0.8124 0.2562  3 In 2.53-2.56
22 Ba 0.9591 0.1122 0.0000  6 S 3.29-3.59
23 In 0.5696 0.1827 0.7540  4 S 2.44-2.56
24 In 0.0820 0.3373 0.3823  4 S 2.47-2.53